First-principles (GGA-PBE) data for a geometry-optimized Ca8Cu2Au structure, as listed in Alexandria via LeMat-Bulk.

Properties
Calculated formation energy, meV per atom: -158

a = 6.305 Å, b = 8.033 Å, c = 8.033 Å
α = 112.55°, β = 100.05°, γ = 100.05°
Element x y z (fractional)
Ca 0.575 0.340 0.079
Ca 0.575 0.079 0.340
Ca 0.175 0.365 0.365
Ca 0.978 0.213 0.784
Ca 0.978 0.784 0.213
Ca 0.800 0.643 0.643
Ca 0.374 0.926 0.662
Ca 0.374 0.662 0.926
Cu 0.499 0.697 0.320
Cu 0.499 0.320 0.697
Au 0.174 0.003 0.003

***

First-principles (GGA-PBE) data for a geometry-optimized CaCu2Au2 structure, as listed in Alexandria via LeMat-Bulk.

Properties
Polymorph energy (0 for the lowest one), meV per atom: 38
Calculated formation energy, meV per atom: -282

a = 7.359 Å, b = 7.359 Å, c = 3.261 Å
α = 90.00°, β = 90.00°, γ = 90.00°
Element x y z (fractional)
Ca 0.000 0.000 0.000
Ca 0.500 0.500 0.000
Au 0.175 0.675 0.500
Au 0.675 0.825 0.500
Au 0.825 0.325 0.500
Au 0.325 0.175 0.500
Cu 0.380 0.880 0.000
Cu 0.880 0.620 0.000
Cu 0.620 0.120 0.000
Cu 0.120 0.380 0.000

***

First-principles (GGA-PBE) data for a geometry-optimized Ca6Cu2Au structure, as listed in Alexandria via LeMat-Bulk.

Properties
Calculated formation energy, meV per atom: -235

a = 8.787 Å, b = 8.787 Å, c = 8.787 Å
α = 105.91°, β = 110.41°, γ = 112.16°
Element x y z (fractional)
Ca 0.453 0.274 0.178
Ca 0.547 0.726 0.822
Ca 0.904 0.726 0.178
Ca 0.096 0.274 0.822
Ca 0.193 0.759 0.952
Ca 0.807 0.241 0.048
Ca 0.807 0.759 0.566
Ca 0.193 0.241 0.434
Ca 0.301 0.973 0.672
Ca 0.699 0.027 0.328
Ca 0.699 0.372 0.672
Ca 0.301 0.628 0.328
Cu 0.500 0.384 0.884
Cu 0.500 0.616 0.116
Cu 0.368 0.000 0.368
Cu 0.632 0.000 0.632
Au 0.000 0.500 0.500
Au 0.000 0.000 0.000

***

First-principles (GGA-PBE) data for a geometry-optimized Ca2Cu5Au5 structure, as listed in Alexandria via LeMat-Bulk.

Properties
Calculated formation energy, meV per atom: -346

a = 4.395 Å, b = 5.222 Å, c = 9.532 Å
α = 90.00°, β = 90.00°, γ = 90.00°
Element x y z (fractional)
Ca 0.000 0.500 0.000
Ca 0.000 0.000 0.500
Cu 0.500 0.500 0.500
Cu 0.500 0.749 0.260
Cu 0.500 0.251 0.740
Cu 0.500 0.251 0.260
Cu 0.500 0.749 0.740
Au 0.000 0.500 0.336
Au 0.000 0.000 0.817
Au 0.000 0.000 0.183
Au 0.000 0.500 0.664
Au 0.500 0.000 0.000

***

First-principles (GGA-PBE) data for a geometry-optimized Ca4CuAu structure, as listed in Alexandria via LeMat-Bulk.

Properties
Polymorph energy (0 for the lowest one), meV per atom: 0
Calculated formation energy, meV per atom: -308

a = 6.874 Å, b = 7.654 Å, c = 7.654 Å
α = 111.34°, β = 98.79°, γ = 98.79°
Element x y z (fractional)
Ca 0.945 0.620 0.764
Ca 0.035 0.917 0.276
Ca 0.555 0.236 0.380
Ca 0.465 0.724 0.083
Ca 0.535 0.276 0.917
Ca 0.445 0.764 0.620
Ca 0.965 0.083 0.724
Ca 0.055 0.380 0.236
Cu 0.250 0.001 0.999
Cu 0.750 0.999 0.001
Au 0.750 0.630 0.370
Au 0.250 0.370 0.630

***

First-principles (GGA-PBE) data for a geometry-optimized Ca3Cu2Au4 structure, as listed in Alexandria via LeMat-Bulk.

Properties
Calculated formation energy, meV per atom: -565

a = 4.628 Å, b = 5.766 Å, c = 8.632 Å
α = 71.18°, β = 74.45°, γ = 66.34°
Element x y z (fractional)
Ca 0.356 0.603 0.686
Ca 0.000 0.000 0.000
Ca 0.644 0.397 0.314
Cu 0.341 0.985 0.333
Cu 0.659 0.015 0.667
Au 0.283 0.364 0.071
Au 0.717 0.636 0.929
Au 0.086 0.233 0.594
Au 0.914 0.767 0.406

***

First-principles (GGA-PBE) data for a geometry-optimized Ca4CuAu structure, as listed in Alexandria via LeMat-Bulk.

Properties
Polymorph energy (0 for the lowest one), meV per atom: 828
Calculated formation energy, meV per atom: 521

a = 6.472 Å, b = 6.472 Å, c = 6.472 Å
α = 60.00°, β = 60.00°, γ = 60.00°
Element x y z (fractional)
Ca 0.875 0.375 0.375
Ca 0.375 0.375 0.875
Ca 0.375 0.875 0.375
Ca 0.375 0.375 0.375
Cu 0.750 0.750 0.750
Au 0.000 0.000 0.000

***

First-principles (GGA-PBE) data for a geometry-optimized CaDyCuAu structure, as listed in Alexandria via LeMat-Bulk.

Properties
Polymorph energy (0 for the lowest one), meV per atom: 0
Calculated formation energy, meV per atom: -505

a = 3.858 Å, b = 4.561 Å, c = 5.717 Å
α = 90.00°, β = 109.72°, γ = 90.00°
Element x y z (fractional)
Ca 0.143 0.000 0.285
Dy 0.862 0.500 0.725
Cu 0.420 0.000 0.841
Au 0.575 0.500 0.149

***

First-principles (GGA-PBE) data for a geometry-optimized CaDyCuAu structure, as listed in Alexandria via LeMat-Bulk.

Properties
Polymorph energy (0 for the lowest one), meV per atom: 26
Calculated formation energy, meV per atom: -479

a = 5.030 Å, b = 5.030 Å, c = 5.030 Å
α = 60.00°, β = 60.00°, γ = 60.00°
Element x y z (fractional)
Ca 0.500 0.500 0.500
Au 0.750 0.750 0.750
Cu 0.250 0.250 0.250
Dy 0.000 0.000 0.000

***

First-principles (GGA-PBE) data for a geometry-optimized CaErCuAu structure, as listed in Alexandria via LeMat-Bulk.

Properties
Polymorph energy (0 for the lowest one), meV per atom: 30
Calculated formation energy, meV per atom: -477

a = 5.006 Å, b = 5.006 Å, c = 5.006 Å
α = 60.00°, β = 60.00°, γ = 60.00°
Element x y z (fractional)
Ca 0.000 0.000 0.000
Au 0.750 0.750 0.750
Cu 0.250 0.250 0.250
Er 0.500 0.500 0.500

***

First-principles (GGA-PBE) data for a geometry-optimized CaErCuAu structure, as listed in Alexandria via LeMat-Bulk.

Properties
Polymorph energy (0 for the lowest one), meV per atom: 0
Calculated formation energy, meV per atom: -507

a = 3.813 Å, b = 4.568 Å, c = 5.687 Å
α = 90.00°, β = 109.59°, γ = 90.00°
Element x y z (fractional)
Ca 0.143 0.000 0.286
Er 0.863 0.500 0.725
Cu 0.419 0.000 0.839
Au 0.575 0.500 0.150

***

Repeat the seventh record exactly.
First-principles (GGA-PBE) data for a geometry-optimized Ca4CuAu structure, as listed in Alexandria via LeMat-Bulk.

Properties
Polymorph energy (0 for the lowest one), meV per atom: 828
Calculated formation energy, meV per atom: 521

a = 6.472 Å, b = 6.472 Å, c = 6.472 Å
α = 60.00°, β = 60.00°, γ = 60.00°
Element x y z (fractional)
Ca 0.875 0.375 0.375
Ca 0.375 0.375 0.875
Ca 0.375 0.875 0.375
Ca 0.375 0.375 0.375
Cu 0.750 0.750 0.750
Au 0.000 0.000 0.000

***

Q: Which value of calculated formation energy does entry 7 give?
A: 521 meV per atom

***

Q: Which of these has the highest calculated formation energy?
A: number 7

***

Q: The highest calculated formation energy belongs to which entry?
A: number 7